First-principles (GGA-PBE) data for crystalline PrDy2Cd2 at its relaxed geometry, as listed in the Alexandria database.

Cell lengths 3.764, 5.455, 13.994 Å; angles 90.00, 97.75, 90.00 degrees
Sites, in units of the cell vectors:
Dy 0.047 0.750 0.094
Dy 0.764 0.250 0.527
Cd 0.358 0.250 0.716
Cd 0.452 0.750 0.906
Cd 0.642 0.750 0.284
Pr 0.851 0.750 0.704
Dy 0.953 0.250 0.906
Pr 0.149 0.250 0.296
Cd 0.548 0.250 0.094
Dy 0.236 0.750 0.473

Properties
The calculation puts the density at 8.1 g/cm³. As for the formation energy: -0.25 eV per atom. Its space group is No. 11.



First-principles (GGA-PBE) data for crystalline Pr4Dy2Cd at its relaxed geometry, as listed in the Alexandria database.

Cell lengths 3.660, 3.623, 17.673 Å; angles 90.00, 95.94, 90.00 degrees
Sites, in units of the cell vectors:
Dy 0.792 0.500 0.584
Dy 0.208 0.500 0.416
Pr 0.062 0.500 0.124
Cd 0.500 0.000 0.000
Pr 0.362 0.000 0.723
Pr 0.938 0.500 0.876
Pr 0.638 0.000 0.277

Properties
The calculation puts the density at 7.1 g/cm³. As for the formation energy: -0.01 eV per atom. Its space group is No. 65.



First-principles (GGA-PBE) data for crystalline PrDyCd at its relaxed geometry, as listed in the Alexandria database.

Cell lengths 3.705, 3.705, 7.031 Å; angles 105.27, 105.27, 90.00 degrees
Sites, in units of the cell vectors:
Pr 0.008 0.008 0.015
Dy 0.319 0.319 0.637
Cd 0.674 0.674 0.347

Properties
The calculation puts the density at 7.7 g/cm³. As for the formation energy: -0.19 eV per atom. Its space group is No. 107.